# Cd2RhAu2

A relaxed Cd2RhAu2 crystal (PBE-GGA, Alexandria via LeMat-Bulk).

Computed properties:
Energy above the lowest structure with this stoichiometry ... 0.000 eV per atom
Crystal system ... orthorhombic
Formation energy ... -0.40 eV per formula unit

a = 3.8757 Å, b = 15.9250 Å, c = 3.0211 Å
α = 90.00°, β = 90.00°, γ = 90.00°
Space group Cmmm (No. 65)
One atom of each set of equivalent atoms:
1 Cd 0.0000 0.0927 0.0000 [4 per cell]
2 Rh 0.0000 0.5000 0.5000 [2 per cell]
3 Au 0.0000 0.3133 0.5000 [4 per cell]

---

# Cd3GaPb

A relaxed Cd3GaPb crystal (PBE-GGA, Alexandria via LeMat-Bulk).

Computed properties:
Energy above the lowest structure with this stoichiometry ... 0.215 eV per atom
Crystal system ... cubic
Formation energy ... 1.38 eV per formula unit

a = 5.2215 Å, b = 5.2215 Å, c = 5.2215 Å
α = 90.00°, β = 90.00°, γ = 90.00°
Space group Pm-3m (No. 221)
One atom of each set of equivalent atoms:
1 Cd 0.0000 0.0000 0.5000 [3 per cell]
2 Ga 0.0000 0.0000 0.0000 [1 per cell]
3 Pb 0.5000 0.5000 0.5000 [1 per cell]

---

# VFe3Bi

A relaxed VFe3Bi crystal (PBE-GGA, Alexandria via LeMat-Bulk).

Computed properties:
Energy above the lowest structure with this stoichiometry ... 0.000 eV per atom
Crystal system ... cubic
Formation energy ... 4.78 eV per formula unit

a = 4.4156 Å, b = 4.4156 Å, c = 4.4156 Å
α = 90.00°, β = 90.00°, γ = 90.00°
Space group Pm-3m (No. 221)
One atom of each set of equivalent atoms:
1 V 0.0000 0.0000 0.0000 [1 per cell]
2 Fe 0.0000 0.0000 0.5000 [3 per cell]
3 Bi 0.5000 0.5000 0.5000 [1 per cell]

---

# PaBSe

A relaxed PaBSe crystal (PBE-GGA, Alexandria via LeMat-Bulk).

Computed properties:
Energy above the lowest structure with this stoichiometry ... 0.187 eV per atom
Uncorrected formation energy ... -0.478 eV/atom
Crystal system ... orthorhombic

a = 3.6711 Å, b = 21.3751 Å, c = 3.3451 Å
α = 90.00°, β = 90.00°, γ = 90.00°
Space group Cmcm (No. 63)
One atom of each set of equivalent atoms:
1 Pa 0.0000 0.0767 0.2500 [4 per cell]
2 B 0.0000 0.4838 0.2500 [4 per cell]
3 Se 0.0000 0.1769 0.7500 [4 per cell]

---

# ZnWS2Cl

A relaxed ZnWS2Cl crystal (PBE-GGA, Alexandria via LeMat-Bulk).

Computed properties:
Energy above the lowest structure with this stoichiometry ... 0.918 eV per atom
Uncorrected formation energy ... 0.961 eV/atom
Crystal system ... tetragonal

a = 4.7279 Å, b = 4.7279 Å, c = 4.4956 Å
α = 90.00°, β = 90.00°, γ = 90.00°
Space group P4/mmm (No. 123)
One atom of each set of equivalent atoms:
1 Zn 0.0000 0.0000 0.0000 [1 per cell]
2 W 0.5000 0.5000 0.5000 [1 per cell]
3 S 0.0000 0.5000 0.0000 [2 per cell]
4 Cl 0.0000 0.0000 0.5000 [1 per cell]

---

# TlHg2Ru

A relaxed TlHg2Ru crystal (PBE-GGA, Alexandria via LeMat-Bulk).

Computed properties:
Energy above the lowest structure with this stoichiometry ... 0.119 eV per atom
Crystal system ... monoclinic
Formation energy ... 1.84 eV per formula unit

a = 10.4970 Å, b = 3.3687 Å, c = 5.5809 Å
α = 90.00°, β = 117.92°, γ = 90.00°
Space group Cm (No. 8)
One atom of each set of equivalent atoms:
1 Tl 0.0000 0.0000 0.0000 [2 per cell]
2 Hg 0.0720 0.5000 0.5684 [2 per cell]
3 Hg 0.2921 0.5000 0.3850 [2 per cell]
4 Ru 0.2775 0.0000 0.9758 [2 per cell]

---

# CrIr2Pb

A relaxed CrIr2Pb crystal (PBE-GGA, Alexandria via LeMat-Bulk).

Computed properties:
Crystal system ... monoclinic
Formation energy ... 1.53 eV per formula unit

a = 9.1618 Å, b = 2.9913 Å, c = 5.0325 Å
α = 90.00°, β = 102.03°, γ = 90.00°
Space group Cm (No. 8)
One atom of each set of equivalent atoms:
1 Cr 0.0000 0.0000 0.0000 [2 per cell]
2 Ir 0.0140 0.5000 0.5898 [2 per cell]
3 Ir 0.2652 0.0000 0.8501 [2 per cell]
4 Pb 0.2577 0.5000 0.3305 [2 per cell]

---

# SiB3

A relaxed SiB3 crystal (PBE-GGA, Alexandria via LeMat-Bulk).

Computed properties:
Energy above the lowest structure with this stoichiometry ... 0.241 eV per atom
Uncorrected formation energy ... 0.199 eV/atom
Crystal system ... triclinic

a = 2.9194 Å, b = 3.2334 Å, c = 4.5931 Å
α = 74.68°, β = 71.48°, γ = 89.87°
Space group P1 (No. 1)
One atom of each set of equivalent atoms:
1 Si 0.0000 0.0000 0.0000 [1 per cell]
2 B 0.1476 0.6116 0.7045 [1 per cell]
3 B 0.6825 0.3440 0.6369 [1 per cell]
4 B 0.7591 0.8983 0.4816 [1 per cell]

---

# NaCo2AgCl8

A relaxed NaCo2AgCl8 crystal (PBE-GGA, Alexandria via LeMat-Bulk).

Computed properties:
Uncorrected formation energy ... -0.676 eV/atom
Crystal system ... trigonal

a = 6.4724 Å, b = 6.4724 Å, c = 9.0442 Å
α = 90.00°, β = 90.00°, γ = 120.00°
Space group P-3 (No. 147)
One atom of each set of equivalent atoms:
1 Na 0.0000 0.0000 0.0000 [1 per cell]
2 Co 0.3333 0.6667 0.7589 [2 per cell]
3 Ag 0.0000 0.0000 0.5000 [1 per cell]
4 Cl 0.0200 0.3324 0.6887 [6 per cell]
5 Cl 0.3333 0.6667 0.9985 [2 per cell]

---

# V4GaMo2

A relaxed V4GaMo2 crystal (PBE-GGA, Alexandria via LeMat-Bulk).

Computed properties:
Energy above the lowest structure with this stoichiometry ... 0.000 eV per atom
Crystal system ... monoclinic
Formation energy ... 1.17 eV per formula unit

a = 9.7973 Å, b = 8.6328 Å, c = 5.3292 Å
α = 90.00°, β = 110.09°, γ = 90.00°
Space group C2/c (No. 15)
One atom of each set of equivalent atoms:
1 V 0.1247 0.2459 0.4174 [8 per cell]
2 V 0.2435 0.0039 0.2133 [8 per cell]
3 Ga 0.0000 0.0794 0.7500 [4 per cell]
4 Mo 0.0000 0.5000 0.0000 [4 per cell]
5 Mo 0.2500 0.2500 0.0000 [4 per cell]

---

# NbRhN

A relaxed NbRhN crystal (PBE-GGA, Alexandria via LeMat-Bulk).

Computed properties:
Uncorrected formation energy ... -0.509 eV/atom
Crystal system ... monoclinic

a = 11.2330 Å, b = 3.0480 Å, c = 5.2575 Å
α = 90.00°, β = 116.36°, γ = 90.00°
Space group Cm (No. 8)
One atom of each set of equivalent atoms:
1 Nb 0.0000 0.0000 0.0000 [2 per cell]
2 Nb 0.2141 0.0000 0.8085 [2 per cell]
3 Rh 0.2306 0.5000 0.2892 [2 per cell]
4 Rh 0.4680 0.0000 0.3723 [2 per cell]
5 N 0.0851 0.5000 0.8413 [2 per cell]
6 N 0.3158 0.5000 0.7019 [2 per cell]

---

# AcLa2Zr

A relaxed AcLa2Zr crystal (PBE-GGA, Alexandria via LeMat-Bulk).

Computed properties:
Energy above the lowest structure with this stoichiometry ... 0.000 eV per atom
Crystal system ... tetragonal
Formation energy ... 0.73 eV per formula unit

a = 4.1146 Å, b = 4.1146 Å, c = 8.1667 Å
α = 90.00°, β = 90.00°, γ = 90.00°
Space group P4/mmm (No. 123)
One atom of each set of equivalent atoms:
1 Ac 0.0000 0.0000 0.0000 [1 per cell]
2 La 0.5000 0.5000 0.2976 [2 per cell]
3 Zr 0.0000 0.0000 0.5000 [1 per cell]

---

# Ac5Nd2Sn4

A relaxed Ac5Nd2Sn4 crystal (PBE-GGA, Alexandria via LeMat-Bulk).

Computed properties:
Crystal system ... monoclinic
Formation energy ... -1.31 eV per formula unit

a = 23.7854 Å, b = 4.2131 Å, c = 8.6654 Å
α = 90.00°, β = 99.87°, γ = 90.00°
Space group C2/m (No. 12)
One atom of each set of equivalent atoms:
1 Ac 0.0000 0.0000 0.0000 [2 per cell]
2 Ac 0.1292 0.5000 0.9998 [4 per cell]
3 Ac 0.1502 0.5000 0.4644 [4 per cell]
4 Nd 0.2255 0.0000 0.8123 [4 per cell]
5 Sn 0.9999 0.5000 0.3261 [4 per cell]
6 Sn 0.0891 0.0000 0.6954 [4 per cell]

---

# La3HfAs4

A relaxed La3HfAs4 crystal (PBE-GGA, Alexandria via LeMat-Bulk).

Computed properties:
Crystal system ... orthorhombic
Formation energy ... -11.13 eV per formula unit

a = 8.4840 Å, b = 11.9255 Å, c = 4.2133 Å
α = 90.00°, β = 90.00°, γ = 90.00°
Space group Cmmm (No. 65)
One atom of each set of equivalent atoms:
1 La 0.0000 0.0000 0.0000 [2 per cell]
2 La 0.2500 0.2500 0.5000 [4 per cell]
3 Hf 0.0000 0.5000 0.0000 [2 per cell]
4 As 0.0000 0.2639 0.0000 [4 per cell]
5 As 0.2260 0.5000 0.5000 [4 per cell]

---

# Ac5DyPt4

A relaxed Ac5DyPt4 crystal (PBE-GGA, Alexandria via LeMat-Bulk).

Computed properties:
Crystal system ... orthorhombic
Formation energy ... -8.55 eV per formula unit

a = 9.1308 Å, b = 10.2835 Å, c = 7.5461 Å
α = 90.00°, β = 90.00°, γ = 90.00°
Space group Pmmn (No. 59, origin choice 2)
One atom of each set of equivalent atoms:
1 Ac 0.0039 0.0519 0.2419 [8 per cell]
2 Ac 0.2500 0.2500 0.6859 [2 per cell]
3 Dy 0.2500 0.7500 0.3023 [2 per cell]
4 Pt 0.0068 0.7500 0.0748 [4 per cell]
5 Pt 0.2500 0.5120 0.4982 [4 per cell]

---

# LaAl2Zn

A relaxed LaAl2Zn crystal (PBE-GGA, Alexandria via LeMat-Bulk).

Computed properties:
Crystal system ... monoclinic
Formation energy ... -0.65 eV per formula unit

a = 3.1319 Å, b = 4.3785 Å, c = 6.4686 Å
α = 90.00°, β = 98.74°, γ = 90.00°
Space group P2/m (No. 10)
One atom of each set of equivalent atoms:
1 La 0.0000 0.0000 0.0000 [1 per cell]
2 Al 0.3684 0.5000 0.6976 [2 per cell]
3 Zn 0.5000 0.0000 0.5000 [1 per cell]

---

# Hf2TlGa

A relaxed Hf2TlGa crystal (PBE-GGA, Alexandria via LeMat-Bulk).

Computed properties:
Energy above the lowest structure with this stoichiometry ... 0.254 eV per atom
Crystal system ... tetragonal
Formation energy ... 0.63 eV per formula unit

a = 7.6898 Å, b = 7.6898 Å, c = 6.0061 Å
α = 90.00°, β = 90.00°, γ = 90.00°
Space group I-42d (No. 122)
One atom of each set of equivalent atoms:
1 Hf 0.2336 0.2500 0.1250 [8 per cell]
2 Tl 0.0000 0.0000 0.5000 [4 per cell]
3 Ga 0.0000 0.0000 0.0000 [4 per cell]

---

# Ho2US6

A relaxed Ho2US6 crystal (PBE-GGA, Alexandria via LeMat-Bulk).

Computed properties:
Uncorrected formation energy ... -1.556 eV/atom
Crystal system ... tetragonal

a = 6.2889 Å, b = 6.2889 Å, c = 11.9948 Å
α = 90.00°, β = 90.00°, γ = 90.00°
Space group P4_2/mnm (No. 136)
One atom of each set of equivalent atoms:
1 Ho 0.0000 0.0000 0.1646 [4 per cell]
2 U 0.0000 0.0000 0.5000 [2 per cell]
3 S 0.1911 0.1911 0.3414 [8 per cell]
4 S 0.2081 0.2081 0.0000 [4 per cell]

---

# BaNiSnH2

A relaxed BaNiSnH2 crystal (PBE-GGA, Alexandria via LeMat-Bulk).

Computed properties:
Energy above the lowest structure with this stoichiometry ... 0.325 eV per atom
Crystal system ... tetragonal

a = 4.3304 Å, b = 4.3304 Å, c = 4.9990 Å
α = 90.00°, β = 90.00°, γ = 90.00°
Space group P4/mmm (No. 123)
One atom of each set of equivalent atoms:
1 Ba 0.0000 0.0000 0.0000 [1 per cell]
2 Ni 0.5000 0.5000 0.0000 [1 per cell]
3 Sn 0.5000 0.5000 0.5000 [1 per cell]
4 H 0.0000 0.5000 0.5000 [2 per cell]

---

# AgGe2Pt

A relaxed AgGe2Pt crystal (PBE-GGA, Alexandria via LeMat-Bulk).

Computed properties:
Energy above the lowest structure with this stoichiometry ... 0.000 eV per atom
Crystal system ... trigonal
Formation energy ... -0.14 eV per formula unit

a = 3.2658 Å, b = 3.2658 Å, c = 25.7821 Å
α = 90.00°, β = 90.00°, γ = 120.00°
Space group R-3m (No. 166, hexagonal axes)
One atom of each set of equivalent atoms:
1 Ag 0.0000 0.0000 0.0000 [3 per cell]
2 Ge 0.0000 0.0000 0.0987 [6 per cell]
3 Pt 0.0000 0.0000 0.5000 [3 per cell]

---

# Ce3NdZn8

A relaxed Ce3NdZn8 crystal (PBE-GGA, Alexandria via LeMat-Bulk).

Computed properties:
Energy above the lowest structure with this stoichiometry ... 0.000 eV per atom
Crystal system ... trigonal
Formation energy ... -3.36 eV per formula unit

a = 5.5310 Å, b = 5.5310 Å, c = 26.9651 Å
α = 90.00°, β = 90.00°, γ = 120.00°
Space group R3m (No. 160, hexagonal axes)
One atom of each set of equivalent atoms:
1 Ce 0.0000 0.0000 0.0000 [3 per cell]
2 Ce 0.0000 0.0000 0.1211 [3 per cell]
3 Ce 0.0000 0.0000 0.6259 [3 per cell]
4 Nd 0.0000 0.0000 0.4999 [3 per cell]
5 Zn 0.0000 0.0000 0.3118 [3 per cell]
6 Zn 0.0000 0.0000 0.8119 [3 per cell]
7 Zn 0.0001 0.5000 0.5618 [9 per cell]
8 Zn 0.0015 0.5008 0.0617 [9 per cell]

---

# SrTePt2

A relaxed SrTePt2 crystal (PBE-GGA, Alexandria via LeMat-Bulk).

Computed properties:
Energy above the lowest structure with this stoichiometry ... 0.082 eV per atom
Uncorrected formation energy ... -0.621 eV/atom
Crystal system ... trigonal

a = 4.7028 Å, b = 4.7028 Å, c = 15.6137 Å
α = 90.00°, β = 90.00°, γ = 120.00°
Space group R-3m (No. 166, hexagonal axes)
One atom of each set of equivalent atoms:
1 Sr 0.0000 0.0000 0.0000 [3 per cell]
2 Te 0.0000 0.0000 0.5000 [3 per cell]
3 Pt 0.0000 0.0000 0.2000 [6 per cell]

---

# NdTh2P

A relaxed NdTh2P crystal (PBE-GGA, Alexandria via LeMat-Bulk).

Computed properties:
Crystal system ... trigonal
Formation energy ... -2.29 eV per formula unit

a = 3.8695 Å, b = 3.8695 Å, c = 28.6942 Å
α = 90.00°, β = 90.00°, γ = 120.00°
Space group R3m (No. 160, hexagonal axes)
One atom of each set of equivalent atoms:
1 Nd 0.0000 0.0000 0.0000 [3 per cell]
2 Th 0.0000 0.0000 0.2291 [3 per cell]
3 Th 0.0000 0.0000 0.4390 [3 per cell]
4 P 0.0000 0.0000 0.8336 [3 per cell]

---

# RhPb2Cl

A relaxed RhPb2Cl crystal (PBE-GGA, Alexandria via LeMat-Bulk).

Computed properties:
Energy above the lowest structure with this stoichiometry ... 0.282 eV per atom
Uncorrected formation energy ... 0.037 eV/atom
Crystal system ... cubic

a = 7.1657 Å, b = 7.1657 Å, c = 7.1657 Å
α = 90.00°, β = 90.00°, γ = 90.00°
Space group Fm-3m (No. 225)
One atom of each set of equivalent atoms:
1 Rh 0.0000 0.0000 0.0000 [4 per cell]
2 Pb 0.2500 0.2500 0.2500 [8 per cell]
3 Cl 0.0000 0.0000 0.5000 [4 per cell]

---

# Cu3SiAs

A relaxed Cu3SiAs crystal (PBE-GGA, Alexandria via LeMat-Bulk).

Computed properties:
Energy above the lowest structure with this stoichiometry ... 0.078 eV per atom
Uncorrected formation energy ... 0.687 eV/atom
Crystal system ... cubic

a = 4.5178 Å, b = 4.5178 Å, c = 4.5178 Å
α = 90.00°, β = 90.00°, γ = 90.00°
Space group Pm-3m (No. 221)
One atom of each set of equivalent atoms:
1 Cu 0.0000 0.0000 0.5000 [3 per cell]
2 Si 0.5000 0.5000 0.5000 [1 per cell]
3 As 0.0000 0.0000 0.0000 [1 per cell]